This record from the Alexandria database describes a relaxed VPt8Rh6 crystal. The functional is PBE.

```
15
Lattice="-2.973 -1.178 4.329 -2.124 -6.206 -3.147 5.982 0.118 4.140" Properties=species:S:1:pos:R:3 pbc="T T T"
Pt -1.679 -4.466 -1.540
Pt -0.682 -1.169 5.077
Pt -0.470 -4.513 0.808
Rh -0.741 -2.916 2.902
Pt 1.355 -2.753 4.514
Rh 0.939 -0.654 2.955
Rh 1.625 -4.350 2.420
V -1.487 -0.589 2.165
Rh -0.055 -6.613 2.367
Pt 1.566 -6.098 0.245
Pt 2.563 -2.800 6.862
Rh -3.074 -4.986 0.736
Rh 3.959 -2.280 4.586
Pt 0.742 -2.168 0.748
Pt 0.143 -5.098 4.574
```

Computed properties:
The total energy comes out at -6.644 eV/atom. As for the space group: P-3. Its energy above the lowest structure with this stoichiometry is 0 meV per atom. Its formation energy is 0.13 eV/atom.

This record from the Alexandria database describes a relaxed V2PtRh2 crystal. The functional is PBE.

```
10
Lattice="-3.761 -0.875 -6.163 -4.616 -4.439 3.446 -1.588 2.165 0.662" Properties=species:S:1:pos:R:3 pbc="T T T"
Pt -4.188 -2.657 -1.358
V -5.216 -4.064 0.780
V -6.199 -3.639 -2.971
Pt 0.000 0.000 0.000
Rh -7.170 -3.290 -0.663
V -2.177 -1.675 0.254
Rh -2.795 0.141 -1.393
Rh -4.286 -1.888 1.670
Rh -5.679 -1.261 -3.725
V -3.161 -1.249 -3.497
```

Computed properties:
The total energy comes out at -8.016 eV/atom. As for the space group: P4/mbm. Its energy above the lowest structure with this stoichiometry is 128 meV per atom. Its formation energy is -0.22 eV/atom.

This record from the Alexandria database describes a relaxed V2PtRh crystal. The functional is PBE.

```
4
Lattice="-1.128 -2.290 2.033 1.607 -2.287 -1.684 4.313 0.694 3.175" Properties=species:S:1:pos:R:3 pbc="T T T"
V 1.113 0.179 0.819
V 3.200 0.515 2.355
Pt 0.240 -2.288 0.175
Rh 2.396 -1.941 1.762
```

Computed properties:
The total energy comes out at -8.198 eV/atom. As for the space group: P4/mmm. Its formation energy is -0.29 eV/atom.

This record from the Alexandria database describes a relaxed VPtRh2 crystal. The functional is PBE.

```
8
Lattice="-3.420 0.950 1.185 -1.111 -3.555 -0.358 0.197 -2.918 8.818" Properties=species:S:1:pos:R:3 pbc="T T T"
Rh -3.812 -4.453 7.338
Pt -2.744 -1.635 5.208
Rh -1.087 -2.829 2.134
V -2.266 -1.303 0.413
Rh -1.556 -3.180 6.922
Rh -2.213 -0.584 2.895
V -1.590 -3.888 4.437
Pt 0.000 0.000 0.000
```

Computed properties:
The total energy comes out at -7.400 eV/atom. As for the space group: I-42d. Its formation energy is 0.07 eV/atom.

This record from the Alexandria database describes a relaxed VPtRh crystal. The functional is PBE.

```
12
Lattice="-2.135 -0.419 -1.673 6.696 -10.182 -5.995 -1.803 -2.981 3.049" Properties=species:S:1:pos:R:3 pbc="T T T"
Pt 3.674 -9.653 -4.522
Rh -1.220 -0.462 -0.578
Pt -0.576 -6.052 0.000
Pt 1.926 -9.857 -2.240
Pt -0.520 -3.275 -0.767
V 4.133 -11.317 -2.439
V 1.687 -4.735 -0.966
Rh -1.024 -1.693 1.732
V -0.608 -4.108 1.806
V 3.642 -7.708 -2.716
Rh 3.226 -5.293 -2.790
Rh 1.226 -7.044 -2.051
```

Computed properties:
The total energy comes out at -7.973 eV/atom. As for the space group: Amm2. Its energy above the lowest structure with this stoichiometry is 26 meV per atom. Its formation energy is -0.47 eV/atom.

This record from the Alexandria database describes a relaxed V4Pt2Rh crystal. The functional is PBE.

```
7
Lattice="-3.510 0.028 -2.870 2.070 -3.114 -2.563 -3.483 -6.125 0.619" Properties=species:S:1:pos:R:3 pbc="T T T"
Pt -3.581 -6.636 -2.849
V -2.412 -4.348 -0.675
V -2.511 -4.863 -4.139
Pt -1.343 -2.576 -1.965
V 1.035 -1.557 -1.282
Rh 0.000 0.000 0.000
V -1.755 0.014 -1.435
```

Computed properties:
The total energy comes out at -7.448 eV/atom. As for the space group: I4/mmm. Its formation energy is 0.54 eV/atom.

This record from the Alexandria database describes a relaxed VPtRhW crystal. The functional is PBE.

```
4
Lattice="-1.552 1.891 3.007 -0.603 -3.336 1.786 3.552 0.254 1.673" Properties=species:S:1:pos:R:3 pbc="T T T"
V 1.474 -1.541 1.730
Rh -1.077 -0.723 2.397
W 1.000 1.072 2.340
Pt 0.000 0.000 0.000
```

Computed properties:
The total energy comes out at -9.224 eV/atom. As for the space group: Pmmm. Its formation energy is -0.36 eV/atom.

This record from the Alexandria database describes a relaxed V2PtRh5W crystal. The functional is PBE.

```
18
Lattice="7.021 0.000 0.000 0.000 7.021 0.000 -3.510 -3.510 5.519" Properties=species:S:1:pos:R:3 pbc="T T T"
Pt 0.000 3.510 2.760
V 6.258 4.273 0.000
V 2.748 6.258 0.000
Rh 5.491 1.981 1.441
V 0.762 2.748 0.000
Pt 3.510 0.000 2.760
Rh 1.981 -1.530 4.078
W 3.510 3.510 2.760
V 4.273 0.762 0.000
Rh 1.530 5.040 1.441
Rh -1.530 -1.981 4.078
Rh 1.981 1.530 1.441
Rh 3.510 3.510 0.000
W 0.000 0.000 2.760
Rh 5.040 5.491 1.441
Rh 1.530 1.981 4.078
Rh -1.981 1.530 4.078
Rh 0.000 0.000 0.000
```

Computed properties:
The total energy comes out at -8.059 eV/atom. As for the space group: I4/mcm. Its formation energy is 0.16 eV/atom.

This record from the Alexandria database describes a relaxed VPtRh5W2 crystal. The functional is PBE.

```
18
Lattice="-3.113 -2.760 6.068 5.732 -4.527 0.881 1.220 7.435 -0.452" Properties=species:S:1:pos:R:3 pbc="T T T"
Rh 2.901 0.895 3.740
Rh 1.310 -3.643 3.475
W 3.874 -5.067 3.115
W -1.255 -2.220 3.835
Rh 3.013 -4.543 5.784
Rh 0.939 -0.747 2.758
W 1.847 -2.060 1.038
Rh -0.234 2.920 3.824
Rh 0.000 0.000 0.000
W 0.772 -5.227 5.911
V 1.265 1.896 1.511
Pt 4.131 -0.368 1.952
Rh 4.074 -2.772 2.674
V 2.574 -1.748 4.986
Pt -0.292 0.516 4.545
Rh -0.122 -2.518 5.868
Rh 3.961 2.666 0.630
Rh 0.826 4.691 0.713
```

Computed properties:
The total energy comes out at -8.240 eV/atom. As for the space group: I4/mcm. Its formation energy is 0.41 eV/atom.

This record from the Alexandria database describes a relaxed VZnPt2Rh crystal. The functional is PBE.

```
5
Lattice="4.542 0.000 0.000 0.000 4.582 0.000 0.000 0.000 4.542" Properties=species:S:1:pos:R:3 pbc="T T T"
V 0.000 0.000 0.000
Zn 0.000 2.291 0.000
Pt 2.271 0.000 0.000
Rh 2.271 2.291 2.271
Pt 0.000 0.000 2.271
```

Computed properties:
The total energy comes out at -4.994 eV/atom. As for the space group: P4/mmm. Its formation energy is 0.97 eV/atom.

This record from the Alexandria database describes a relaxed VZnPtRh crystal. The functional is PBE.

```
4
Lattice="-1.079 2.253 -1.261 0.681 -1.069 -2.495 -6.429 -3.274 -0.352" Properties=species:S:1:pos:R:3 pbc="T T T"
Pt -5.453 -2.084 -2.165
Zn -0.501 -0.255 -0.027
V -3.617 -1.842 -0.198
Rh -2.301 -0.479 -1.993
```

Computed properties:
The total energy comes out at -6.457 eV/atom. As for the space group: P4mm. Its formation energy is -0.51 eV/atom.

This record from the Alexandria database describes a relaxed PtRh3W2 crystal. The functional is PBE.

```
12
Lattice="-0.885 1.014 -4.584 4.530 -1.419 0.533 -4.160 -7.735 0.725" Properties=species:S:1:pos:R:3 pbc="T T T"
W 0.904 -1.128 0.004
Pt -3.328 -5.091 -3.401
Rh 2.778 -1.160 -1.992
W 2.012 -3.752 -2.416
Pt 2.814 -3.049 0.075
Rh 0.108 -1.833 -2.482
W -2.527 -4.388 -0.910
Rh 0.140 -3.720 -0.418
Rh -0.654 -4.420 -2.908
Rh -0.622 -6.307 -0.844
W -1.419 -7.012 -3.330
Rh -3.293 -6.980 -1.334
```

Computed properties:
The total energy comes out at -9.191 eV/atom. As for the space group: Fddd. Its energy above the lowest structure with this stoichiometry is 0 meV per atom. Its formation energy is -0.19 eV/atom.